# 1
Pr2GeBr: relaxed, GGA-PBE.

Lattice parameters (Å, degrees): 4.2710 4.2710 23.1209 90.00 90.00 120.00
Element x y z (fractional)
Pr 0.0000 0.0000 0.0000
Pr 0.0000 0.0000 0.1942
Pr 0.3333 0.6667 0.6667
Pr 0.3333 0.6667 0.8609
Pr 0.6667 0.3333 0.3333
Pr 0.6667 0.3333 0.5275
Ge 0.0000 0.0000 0.5979
Ge 0.3333 0.6667 0.2646
Ge 0.6667 0.3333 0.9312
Br 0.0000 0.0000 0.4279
Br 0.3333 0.6667 0.0946
Br 0.6667 0.3333 0.7612

- Symmetry: R3m
- Crystal system: trigonal
- Raw formation energy: -1.126 eV/atom
- Energy above the most stable polymorph in this dataset: 36 meV/atom

***

# 2
Pr2Ge2Br: relaxed, GGA-PBE.

Lattice parameters (Å, degrees): 4.0627 16.9410 4.1183 90.00 90.00 90.00
Element x y z (fractional)
Pr 0.0000 0.1472 0.0000
Pr 0.0000 0.8528 0.0000
Pr 0.5000 0.3528 0.0000
Pr 0.5000 0.6472 0.0000
Ge 0.0000 0.2982 0.5000
Ge 0.0000 0.7018 0.5000
Ge 0.5000 0.2018 0.5000
Ge 0.5000 0.7982 0.5000
Br 0.0000 0.0000 0.5000
Br 0.5000 0.5000 0.5000

- Symmetry: Cmmm
- Crystal system: orthorhombic
- Raw formation energy: -1.048 eV/atom

***

# 3
Pr8Ge4Br3: relaxed, GGA-PBE.

Lattice parameters (Å, degrees): 8.6300 8.6300 8.5768 119.73 119.73 90.37
Element x y z (fractional)
Pr 0.2398 0.7602 0.0000
Pr 0.2448 0.2448 0.4893
Pr 0.2476 0.2476 0.0155
Pr 0.2561 0.7439 0.5000
Pr 0.7439 0.2561 0.5000
Pr 0.7524 0.7524 0.9845
Pr 0.7552 0.7552 0.5107
Pr 0.7602 0.2398 0.0000
Ge 0.0000 0.0000 0.0000
Ge 0.0000 0.5000 0.5000
Ge 0.5000 0.0000 0.5000
Ge 0.5000 0.5000 0.5000
Br 0.0000 0.5000 0.0000
Br 0.5000 0.0000 0.0000
Br 0.5000 0.5000 0.0000

- Symmetry: C2/m
- Crystal system: monoclinic
- Raw formation energy: -0.989 eV/atom

***

# 4
PrGeBr: relaxed, GGA-PBE.

Lattice parameters (Å, degrees): 4.0376 4.0236 10.0839 90.00 90.22 90.00
Element x y z (fractional)
Pr 0.2474 0.2500 0.2307
Pr 0.7526 0.7500 0.7693
Ge 0.2686 0.7500 0.9996
Ge 0.7314 0.2500 0.0004
Br 0.2520 0.2500 0.6391
Br 0.7480 0.7500 0.3609

- Symmetry: P2_1/m
- Crystal system: monoclinic
- Raw formation energy: -1.190 eV/atom

***

# 5
Pr2GeBr: relaxed, GGA-PBE.

Lattice parameters (Å, degrees): 3.6171 3.6171 8.1004 90.00 90.00 90.00
Element x y z (fractional)
Pr 0.0000 0.0000 0.2278
Pr 0.0000 0.0000 0.7722
Ge 0.5000 0.5000 0.0000
Br 0.5000 0.5000 0.5000

- Symmetry: P4/mmm
- Crystal system: tetragonal
- Raw formation energy: -0.924 eV/atom
- Energy above the most stable polymorph in this dataset: 238 meV/atom

***

# 6
Pr2GeBr: relaxed, GGA-PBE.

Lattice parameters (Å, degrees): 7.8440 4.1528 14.5335 90.00 90.00 90.00
Element x y z (fractional)
Pr 0.1533 0.2500 0.2374
Pr 0.1955 0.7500 0.9926
Pr 0.3045 0.2500 0.4926
Pr 0.3467 0.7500 0.7374
Pr 0.6533 0.2500 0.2626
Pr 0.6955 0.7500 0.5074
Pr 0.8045 0.2500 0.0074
Pr 0.8467 0.7500 0.7626
Ge 0.0840 0.2500 0.8503
Ge 0.4160 0.7500 0.3503
Ge 0.5840 0.2500 0.6497
Ge 0.9160 0.7500 0.1497
Br 0.0749 0.7500 0.5931
Br 0.4251 0.2500 0.0931
Br 0.5749 0.7500 0.9069
Br 0.9251 0.2500 0.4069

- Symmetry: Pnma
- Crystal system: orthorhombic
- Raw formation energy: -1.101 eV/atom
- Energy above the most stable polymorph in this dataset: 61 meV/atom

***

# 7
Pr4Ge3Br: relaxed, GGA-PBE.

Lattice parameters (Å, degrees): 8.6809 12.2537 4.3593 90.00 90.00 90.00
Element x y z (fractional)
Pr 0.0000 0.2461 0.0000
Pr 0.0000 0.7539 0.0000
Pr 0.2338 0.0000 0.5000
Pr 0.2662 0.5000 0.5000
Pr 0.5000 0.2539 0.0000
Pr 0.5000 0.7461 0.0000
Pr 0.7338 0.5000 0.5000
Pr 0.7662 0.0000 0.5000
Ge 0.0000 0.0000 0.0000
Ge 0.2500 0.2500 0.5000
Ge 0.2500 0.7500 0.5000
Ge 0.5000 0.5000 0.0000
Ge 0.7500 0.2500 0.5000
Ge 0.7500 0.7500 0.5000
Br 0.0000 0.5000 0.0000
Br 0.5000 0.0000 0.0000

- Symmetry: Cmmm
- Crystal system: orthorhombic
- Raw formation energy: -0.969 eV/atom

***

# 8
Pr2GeBr: relaxed, GGA-PBE.

Lattice parameters (Å, degrees): 4.3399 4.3399 22.0748 90.00 90.00 120.00
Element x y z (fractional)
Pr 0.0000 0.0000 0.2380
Pr 0.0000 0.0000 0.7620
Pr 0.3333 0.6667 0.4287
Pr 0.3333 0.6667 0.9047
Pr 0.6667 0.3333 0.0953
Pr 0.6667 0.3333 0.5713
Ge 0.0000 0.0000 0.5000
Ge 0.3333 0.6667 0.1667
Ge 0.6667 0.3333 0.8333
Br 0.0000 0.0000 0.0000
Br 0.3333 0.6667 0.6667
Br 0.6667 0.3333 0.3333

- Symmetry: R-3m
- Crystal system: trigonal
- Raw formation energy: -1.162 eV/atom
- Energy above the most stable polymorph in this dataset: 0 meV/atom

***

# 9
Pr7GeBr12: relaxed, GGA-PBE.

Lattice parameters (Å, degrees): 9.5546 9.5546 9.5546 107.84 107.84 107.84
Element x y z (fractional)
Pr 0.0000 0.0000 0.0000
Pr 0.1717 0.3889 0.4649
Pr 0.3889 0.4649 0.1717
Pr 0.4649 0.1717 0.3889
Pr 0.5351 0.8283 0.6111
Pr 0.6111 0.5351 0.8283
Pr 0.8283 0.6111 0.5351
Ge 0.5000 0.5000 0.5000
Br 0.0293 0.3403 0.1104
Br 0.1104 0.0293 0.3403
Br 0.1906 0.7282 0.5778
Br 0.2718 0.4222 0.8094
Br 0.3403 0.1104 0.0293
Br 0.4222 0.8094 0.2718
Br 0.5778 0.1906 0.7282
Br 0.6597 0.8896 0.9707
Br 0.7282 0.5778 0.1906
Br 0.8094 0.2718 0.4222
Br 0.8896 0.9707 0.6597
Br 0.9707 0.6597 0.8896

- Symmetry: R-3
- Crystal system: trigonal
- Raw formation energy: -1.664 eV/atom

***

# 10
Pr4Ge2Br: relaxed, GGA-PBE.

Lattice parameters (Å, degrees): 7.9877 7.9877 7.9877 110.07 110.07 108.28
Element x y z (fractional)
Pr 0.1347 0.2436 0.7433
Pr 0.1414 0.7503 0.7567
Pr 0.2497 0.0064 0.3911
Pr 0.5003 0.3914 0.2567
Pr 0.6086 0.8653 0.1089
Pr 0.6153 0.8586 0.6089
Pr 0.7564 0.4997 0.8911
Pr 0.9936 0.3847 0.2433
Ge 0.2491 0.6250 0.1241
Ge 0.3750 0.4991 0.6241
Ge 0.5009 0.1250 0.8759
Ge 0.8750 0.7509 0.3759
Br 0.0000 0.0000 0.0000
Br 0.7500 0.2500 0.5000

- Symmetry: I-42d
- Crystal system: tetragonal
- Raw formation energy: -0.878 eV/atom

***

# 11
Pr2GeBr3: relaxed, GGA-PBE.

Lattice parameters (Å, degrees): 9.9154 9.9154 13.0663 127.03 127.03 25.01
Element x y z (fractional)
Pr 0.1145 0.1145 0.4428
Pr 0.3707 0.3707 0.1823
Pr 0.6293 0.6293 0.8177
Pr 0.8855 0.8855 0.5572
Ge 0.0595 0.0595 0.6197
Ge 0.9405 0.9405 0.3803
Br 0.1722 0.1722 0.0209
Br 0.2561 0.2561 0.3829
Br 0.4537 0.4537 0.7656
Br 0.5463 0.5463 0.2344
Br 0.7439 0.7439 0.6171
Br 0.8278 0.8278 0.9791

- Symmetry: C2/m
- Crystal system: monoclinic
- Raw formation energy: -1.408 eV/atom

***

# 12
Pr3GeBr3: relaxed, GGA-PBE.

Lattice parameters (Å, degrees): 10.5368 10.5368 10.5368 109.47 109.47 109.47
Element x y z (fractional)
Pr 0.0099 0.0198 0.2599
Pr 0.0099 0.4901 0.7500
Pr 0.0198 0.2599 0.0099
Pr 0.2401 0.2599 0.7500
Pr 0.2401 0.4802 0.4901
Pr 0.2599 0.0099 0.0198
Pr 0.2599 0.7500 0.2401
Pr 0.4802 0.4901 0.2401
Pr 0.4901 0.2401 0.4802
Pr 0.4901 0.7500 0.0099
Pr 0.7500 0.0099 0.4901
Pr 0.7500 0.2401 0.2599
Ge 0.0000 0.2500 0.5000
Ge 0.2500 0.2500 0.2500
Ge 0.2500 0.5000 0.0000
Ge 0.5000 0.0000 0.2500
Br 0.2500 0.7539 0.7461
Br 0.2500 0.9961 0.5039
Br 0.5039 0.2500 0.9961
Br 0.5039 0.7539 0.5079
Br 0.5079 0.5039 0.7539
Br 0.7461 0.2500 0.7539
Br 0.7461 0.9961 0.9921
Br 0.7539 0.5079 0.5039
Br 0.7539 0.7461 0.2500
Br 0.9921 0.7461 0.9961
Br 0.9961 0.5039 0.2500
Br 0.9961 0.9921 0.7461

- Symmetry: I4_132
- Crystal system: cubic
- Raw formation energy: -1.470 eV/atom